Record 1
Below is an optimized crystal structure of KNi2Hg2, with properties calculated at the PBEsol level.

Computed properties:
N(E_F): 0.67 states/eV per atom
final energy: -13.25 eV for the cell shown
volume: 20.3 Å³ per atom
energy of formation: 266 meV/atom
space group: No. 139

Structure (extended XYZ):
```
5
Lattice="-3.7217 -0.4938 -1.5438 1.2873 -3.2499 -2.0638 -0.2743 -1.7350 6.5533" Properties=species:S:1:pos:R:3 pbc="T T T"
K 0.0000 0.0000 0.0000
Ni -2.6066 -2.0504 1.6028
Ni -0.1021 -3.4284 1.3428
Hg -1.5755 -2.7383 -0.6629
Hg -1.1332 -2.7405 3.6085
```

=====

Record 2
Below is an optimized crystal structure of K2NiHg, with properties calculated at the PBEsol level.

Computed properties:
N(E_F): 1.27 states/eV per atom
final energy: -7.04 eV for the cell shown
volume: 28.0 Å³ per atom
energy of formation: 488 meV/atom
space group: No. 47

Structure (extended XYZ):
```
4
Lattice="3.1039 0.0000 0.0355 0.0000 4.2760 0.0000 -0.0965 0.0000 8.4437" Properties=species:S:1:pos:R:3 pbc="T T T"
K -0.0212 0.0000 1.8560
K 3.0285 0.0000 6.6232
Ni 1.5519 2.1380 0.0178
Hg 1.5037 2.1380 4.2396
```

=====

Record 3
Below is an optimized crystal structure of K3HgO, with properties calculated at the PBEsol level.

Computed properties:
N(E_F): 0.56 states/eV per atom
energy relative to the elements, uncorrected: -620 meV per atom
final energy: -12.32 eV for the cell shown
volume: 30.1 Å³ per atom
space group: No. 221

Structure (extended XYZ):
```
5
Lattice="-1.6203 4.7739 -1.6958 0.9759 -1.4529 -5.0228 -4.9713 -1.8412 -0.4333" Properties=species:S:1:pos:R:3 pbc="T T T"
O 0.0000 0.0000 0.0000
Hg -2.8078 0.7399 -3.5759
K 0.4880 -0.7265 -2.5114
K -0.8102 2.3870 -0.8479
K -2.4856 -0.9206 -0.2167
```

=====

Record 4
Below is an optimized crystal structure of KHgO3, with properties calculated at the PBEsol level.

Computed properties:
N(E_F): 1.58 states/eV per atom
energy relative to the elements, uncorrected: 1026 meV per atom
final energy: -12.32 eV for the cell shown
volume: 22.0 Å³ per atom
space group: No. 221

Structure (extended XYZ):
```
5
Lattice="4.7879 0.0000 0.0000 0.0000 4.7879 0.0000 0.0000 0.0000 4.7879" Properties=species:S:1:pos:R:3 pbc="T T T"
O 0.0000 0.0000 2.3939
O 0.0000 2.3939 0.0000
O 2.3939 0.0000 0.0000
K 0.0000 0.0000 0.0000
Hg 2.3939 2.3939 2.3939
```

=====

Record 5
Below is an optimized crystal structure of K2HgOs, with properties calculated at the PBEsol level.

Computed properties:
N(E_F): 0.71 states/eV per atom
final energy: -11.24 eV for the cell shown
volume: 22.2 Å³ per atom
energy of formation: 953 meV/atom
space group: No. 166

Structure (extended XYZ):
```
4
Lattice="2.9696 0.0000 0.0000 1.4848 2.5718 0.0000 1.4848 0.8573 11.6211" Properties=species:S:1:pos:R:3 pbc="T T T"
Os 2.9696 1.7145 5.8106
Hg 0.0000 0.0000 0.0000
K 4.4544 2.5718 8.5047
K 1.4848 0.8573 3.1165
```

=====

Record 6
Below is an optimized crystal structure of KHgOs, with properties calculated at the PBEsol level.

Computed properties:
N(E_F): 0.63 states/eV per atom
final energy: -10.64 eV for the cell shown
volume: 20.6 Å³ per atom
energy of formation: 1093 meV/atom
space group: No. 187

Structure (extended XYZ):
```
3
Lattice="2.6772 0.0000 0.0000 0.0000 5.1604 0.0000 0.0000 -2.5802 4.4691" Properties=species:S:1:pos:R:3 pbc="T T T"
Hg 1.3386 0.0000 0.0000
K 0.0000 0.0000 2.9794
Os 1.3386 2.5802 1.4897
```

=====

Record 7
Below is an optimized crystal structure of KHg3Os, with properties calculated at the PBEsol level.

Computed properties:
N(E_F): 0.74 states/eV per atom
final energy: -13.37 eV for the cell shown
volume: 28.4 Å³ per atom
energy of formation: 336 meV/atom
space group: No. 221

Structure (extended XYZ):
```
5
Lattice="-1.7258 -0.6863 4.8762 -4.1870 -2.5150 -1.8359 2.5918 -4.5200 0.2811" Properties=species:S:1:pos:R:3 pbc="T T T"
Hg -2.0935 -1.2575 -0.9179
Hg 1.2959 -2.2600 0.1405
Hg -0.8629 -0.3432 2.4381
Os 0.0000 0.0000 0.0000
K -1.6605 -3.8607 1.6607
```

=====

Record 8
Below is an optimized crystal structure of KHgP2, with properties calculated at the PBEsol level.

Computed properties:
N(E_F): 0.51 states/eV per atom
final energy: -11.40 eV for the cell shown
volume: 21.1 Å³ per atom
energy of formation: 470 meV/atom
space group: No. 123

Structure (extended XYZ):
```
4
Lattice="3.1201 0.0000 0.0000 0.0000 3.1201 0.0000 0.0000 0.0000 8.6736" Properties=species:S:1:pos:R:3 pbc="T T T"
P 0.0000 0.0000 6.7828
P 0.0000 0.0000 1.8908
K 1.5601 1.5601 4.3368
Hg 1.5601 1.5601 0.0000
```

=====

Record 9
Below is an optimized crystal structure of KHgP2, with properties calculated at the PBEsol level.

Computed properties:
N(E_F): 0.46 states/eV per atom
final energy: -13.27 eV for the cell shown
volume: 28.9 Å³ per atom
energy of formation: 4 meV/atom
space group: No. 10

Structure (extended XYZ):
```
4
Lattice="-1.5022 -0.2577 2.9144 0.1943 -5.8529 -0.4173 5.3966 -0.0057 2.5919" Properties=species:S:1:pos:R:3 pbc="T T T"
Hg -0.6540 -3.0553 1.2485
P 2.9538 -0.0700 2.3562
P 0.9406 -0.1934 3.1502
K 2.7954 -2.9293 1.0873
```

=====

Record 10
Below is an optimized crystal structure of KHgP2, with properties calculated at the PBEsol level.

Computed properties:
N(E_F): 0.28 states/eV per atom
final energy: -13.82 eV for the cell shown
volume: 24.7 Å³ per atom
energy of formation: -135 meV/atom
space group: No. 38

Structure (extended XYZ):
```
4
Lattice="-2.5625 1.3076 -1.6292 0.7472 -3.5831 -4.0512 -3.7455 -1.7206 4.5101" Properties=species:S:1:pos:R:3 pbc="T T T"
Hg -3.1756 -3.3077 2.3399
P -1.7268 0.1897 -0.4863
P -1.3124 -1.3670 0.9670
K -2.7035 -3.0083 -1.5169
```

=====

Record 11
Below is an optimized crystal structure of K2HgP, with properties calculated at the PBEsol level.

Computed properties:
N(E_F): 0.51 states/eV per atom
final energy: -9.36 eV for the cell shown
volume: 29.5 Å³ per atom
energy of formation: -185 meV/atom
space group: No. 44
distance to the lowest polymorph of the same formula: 0 kJ/mol of formula units

Structure (extended XYZ):
```
4
Lattice="4.2893 0.0000 0.0000 0.0000 5.3923 0.0000 -2.1447 -2.6962 5.0955" Properties=species:S:1:pos:R:3 pbc="T T T"
K 2.1447 2.6962 4.8299
K 2.1447 0.0000 2.8822
Hg 0.0000 2.6962 1.9177
P 2.1447 2.6962 0.5613
```

=====

Record 12
Below is an optimized crystal structure of K2HgP, with properties calculated at the PBEsol level.

Computed properties:
N(E_F): 0.26 states/eV per atom
final energy: -15.35 eV for the cell shown
volume: 30.4 Å³ per atom
energy of formation: 238 meV/atom
space group: No. 122
distance to the lowest polymorph of the same formula: 163 kJ/mol of formula units

Structure (extended XYZ):
```
8
Lattice="4.7711 0.0000 0.0000 0.0000 4.7711 0.0000 -2.3856 -2.3856 10.6720" Properties=species:S:1:pos:R:3 pbc="T T T"
K -1.1928 -1.1417 8.0040
K 1.1928 1.1417 8.0040
K 3.5272 1.1928 2.6680
K 1.2439 3.5783 2.6680
Hg 0.0000 0.0000 0.0000
Hg 0.0000 2.3856 5.3360
P 2.3856 2.3856 0.0000
P 2.3856 0.0000 5.3360
```